# Na2CuAgF6 (GGA-PBE, optimized geometry)
data_Na2CuAgF6
_chemical_formula_sum 'Na4 Cu2 Ag2 F12'
_cell_length_a 5.583
_cell_length_b 5.843
_cell_length_c 9.831
_cell_angle_alpha 90.00
_cell_angle_beta 124.51
_cell_angle_gamma 90.00
_space_group_name_H-M_alt 'P 1'
_space_group_IT_number 1
_space_group_name_Hall 'P 1'
loop_
_atom_site_label
_atom_site_type_symbol
_atom_site_fract_x
_atom_site_fract_y
_atom_site_fract_z
Na1 Na 0.227 0.059 0.245
Na2 Na 0.227 0.441 0.745
Na3 Na 0.773 0.559 0.255
Na4 Na 0.773 0.941 0.755
Cu1 Cu 0.500 0.000 0.000
Cu2 Cu 0.500 0.500 0.500
Ag1 Ag 0.000 0.000 0.500
Ag2 Ag 0.000 0.500 0.000
F1 F 0.157 0.180 0.945
F2 F 0.157 0.320 0.445
F3 F 0.254 0.721 0.925
F4 F 0.254 0.779 0.425
F5 F 0.396 0.060 0.775
F6 F 0.396 0.440 0.275
F7 F 0.604 0.560 0.725
F8 F 0.604 0.940 0.225
F9 F 0.746 0.221 0.575
F10 F 0.746 0.279 0.075
F11 F 0.843 0.680 0.555
F12 F 0.843 0.820 0.055
# * raw formation energy: -19.31 eV/f.u.
# * symmetry: P2_1/c